(1)
Density functional theory data (GGA-PBE) for crystalline KPt2W at its relaxed geometry.

- density of states at the Fermi level (states/eV/cell) = 8.93
- total energy (eV per atom) = -5.77
- energy above the most stable polymorph in this dataset (kcal/mol of atoms) = 17.18
- calculated density (g cm⁻³) = 11.0
- formation energy from the elements (eV per atom) = 0.759
- total moment (μB/atom) = 0.181

a b c (Å): 3.551 5.715 9.126
angles (deg): 90.00 90.00 90.00
Space group Immm (No. 71)
One atom of each set of equivalent atoms:
K 0.000 0.000 0.000 [2 per cell]
Pt 0.000 0.500 0.191 [4 per cell]
W 0.000 0.000 0.500 [2 per cell]

=====

(2)
Density functional theory data (GGA-PBE) for crystalline KPt2W at its relaxed geometry.

- density of states at the Fermi level (states/eV/cell) = 4.52
- total energy (eV per atom) = -6.15
- energy above the most stable polymorph in this dataset (kcal/mol of atoms) = 8.42
- calculated density (g cm⁻³) = 13.4
- formation energy from the elements (eV per atom) = 0.379
- total moment (μB/atom) = 0.000

a b c (Å): 2.753 4.976 11.078
angles (deg): 90.00 90.00 90.00
Space group Imm2 (No. 44)
One atom of each set of equivalent atoms:
K 0.000 0.000 0.000 [2 per cell]
Pt 0.000 0.000 0.512 [2 per cell]
Pt 0.000 0.500 0.780 [2 per cell]
W 0.000 0.500 0.214 [2 per cell]

=====

(3)
Density functional theory data (GGA-PBE) for crystalline KPt2W at its relaxed geometry.

- density of states at the Fermi level (states/eV/cell) = 7.13
- total energy (eV per atom) = -5.58
- energy above the most stable polymorph in this dataset (kcal/mol of atoms) = 21.60
- calculated density (g cm⁻³) = 14.2
- formation energy from the elements (eV per atom) = 0.951
- total moment (μB/atom) = 0.000

a b c (Å): 4.061 4.061 8.711
angles (deg): 90.00 90.00 90.00
Space group I-4m2 (No. 119)
One atom of each set of equivalent atoms:
K 0.000 0.000 0.000 [2 per cell]
Pt 0.000 0.000 0.500 [2 per cell]
Pt 0.000 0.500 0.750 [2 per cell]
W 0.000 0.500 0.250 [2 per cell]

=====

(4)
Density functional theory data (GGA-PBE) for crystalline KPt2W at its relaxed geometry.

- density of states at the Fermi level (states/eV/cell) = 11.49
- total energy (eV per atom) = -5.83
- energy above the most stable polymorph in this dataset (kcal/mol of atoms) = 15.98
- calculated density (g cm⁻³) = 10.0
- formation energy from the elements (eV per atom) = 0.707
- total moment (μB/atom) = 0.252

a b c (Å): 7.644 7.644 6.973
angles (deg): 90.00 90.00 90.00
Space group I-42d (No. 122)
One atom of each set of equivalent atoms:
K 0.000 0.000 0.000 [4 per cell]
Pt 0.166 0.750 0.625 [8 per cell]
W 0.000 0.000 0.500 [4 per cell]